DFT (PBE) results for a relaxed AgPb2W crystal.

Lattice parameters (Å, degrees): 9.778 9.778 9.778 19.27 19.27 19.27
Last column: magnetic moment on the atom in μB.
Atoms (fractional coordinates):
W 0.250 0.250 0.250  0.32
Pb 0.996 0.996 0.996  0.00
Pb 0.504 0.504 0.504  0.00
Ag 0.750 0.750 0.750  0.00

Properties
Crystal system = trigonal
Formation energy = 0.711 eV/atom
Density = 13.2 g/cm³
Calculated volume = 22.3 Å³ per atom

---

DFT (PBE) results for a relaxed AgPbW2 crystal.

Lattice parameters (Å, degrees): 5.434 5.434 5.434 137.06 137.06 62.34
Atoms (fractional coordinates):
Ag 0.250 0.750 0.500
W 0.500 0.500 0.000
Pb 0.750 0.250 0.500
W 0.000 0.000 0.000

Properties
Crystal system = tetragonal
Formation energy = 1.008 eV/atom
Density = 15.4 g/cm³
Calculated volume = 18.4 Å³ per atom

---

DFT (PBE) results for a relaxed Ag2PbW crystal.

Lattice parameters (Å, degrees): 10.201 10.201 10.201 17.02 17.02 17.02
Atoms (fractional coordinates):
Ag 0.493 0.493 0.493
Pb 0.250 0.250 0.250
W 0.750 0.750 0.750
Ag 0.007 0.007 0.007

Properties
Crystal system = trigonal
Formation energy = 0.608 eV/atom
Density = 12.7 g/cm³
Calculated volume = 19.8 Å³ per atom

---

DFT (PBE) results for a relaxed Ag2PbW crystal.

Lattice parameters (Å, degrees): 4.820 2.972 5.402 89.99 90.00 90.00
Atoms (fractional coordinates):
Ag 0.500 0.375 0.176
Ag 0.000 0.875 0.056
W 0.500 0.875 0.701
Pb 0.000 0.375 0.568

Properties
Crystal system = orthorhombic
Formation energy = 0.732 eV/atom
Density = 13.0 g/cm³
Calculated volume = 19.3 Å³ per atom

---

DFT (PBE) results for a relaxed Ag2PbW crystal.

Lattice parameters (Å, degrees): 5.580 5.580 5.580 137.62 137.62 61.49
Atoms (fractional coordinates):
Ag 0.000 0.000 0.000
Pb 0.250 0.750 0.500
Ag 0.500 0.500 0.000
W 0.750 0.250 0.500

Properties
Crystal system = tetragonal
Formation energy = 0.910 eV/atom
Density = 12.9 g/cm³
Calculated volume = 19.5 Å³ per atom

---

DFT (PBE) results for a relaxed AgPbW2 crystal.

Lattice parameters (Å, degrees): 4.678 3.971 3.971 90.00 90.00 90.00
Atoms (fractional coordinates):
W 0.000 0.500 0.500
W 0.000 0.000 0.000
Pb 0.500 0.000 0.500
Ag 0.500 0.500 0.000

Properties
Crystal system = tetragonal
Formation energy = 1.002 eV/atom
Density = 15.4 g/cm³
Calculated volume = 18.4 Å³ per atom

---

DFT (PBE) results for a relaxed AgPbW2 crystal.

Lattice parameters (Å, degrees): 4.878 2.904 5.350 84.04 90.00 90.00
Atoms (fractional coordinates):
W 0.000 0.554 0.475
Ag 0.500 0.250 0.250
Pb 0.500 0.750 0.750
W 0.000 0.946 0.025

Properties
Crystal system = monoclinic
Formation energy = 0.910 eV/atom
Density = 15.0 g/cm³
Calculated volume = 18.8 Å³ per atom

---

DFT (PBE) results for a relaxed AgPbW crystal.

Lattice parameters (Å, degrees): 7.746 7.590 2.956 81.86 75.94 22.20
Atoms (fractional coordinates):
Pb 0.676 0.676 0.324
W 0.339 0.339 0.661
Ag 0.985 0.985 0.015

Properties
Crystal system = orthorhombic
Formation energy = 0.836 eV/atom
Density = 13.4 g/cm³
Calculated volume = 20.7 Å³ per atom

---

DFT (PBE) results for a relaxed AgPb2W crystal.

Lattice parameters (Å, degrees): 5.760 5.760 5.760 137.16 137.16 62.19
Last column: magnetic moment on the atom in μB.
Atoms (fractional coordinates):
Pb 0.000 0.000 0.000  -0.01
W 0.500 0.500 0.000  1.01
Pb 0.250 0.750 0.500  -0.02
Ag 0.750 0.250 0.500  0.01

Properties
Crystal system = tetragonal
Formation energy = 0.914 eV/atom
Density = 13.4 g/cm³
Calculated volume = 21.8 Å³ per atom

---

DFT (PBE) results for a relaxed Ag2PbW crystal.

Lattice parameters (Å, degrees): 5.440 5.440 2.934 90.00 90.00 117.06
Atoms (fractional coordinates):
Ag 0.000 0.000 0.000
Pb 0.500 0.000 0.500
W 0.000 0.500 0.500
Ag 0.500 0.500 0.000

Properties
Crystal system = orthorhombic
Formation energy = 0.714 eV/atom
Density = 13.0 g/cm³
Calculated volume = 19.3 Å³ per atom

---

DFT (PBE) results for a relaxed AgPb4W2 crystal.

Lattice parameters (Å, degrees): 5.517 5.517 7.910 69.59 69.59 90.00
Atoms (fractional coordinates):
Pb 0.205 0.205 0.589
Pb 0.000 0.500 0.000
W 0.584 0.584 0.832
W 0.416 0.416 0.168
Pb 0.795 0.795 0.411
Ag 0.000 0.000 0.000
Pb 0.500 0.000 0.000

Properties
Crystal system = tetragonal
Formation energy = 1.217 eV/atom
Density = 10.3 g/cm³
Calculated volume = 29.9 Å³ per atom

---

DFT (PBE) results for a relaxed AgPb2W crystal.

Lattice parameters (Å, degrees): 5.901 5.901 5.228 77.15 77.15 29.88
Atoms (fractional coordinates):
W 0.522 0.522 0.540
Pb 0.983 0.983 0.058
Ag 0.220 0.220 0.217
Pb 0.774 0.774 0.686

Properties
Crystal system = monoclinic
Formation energy = 0.755 eV/atom
Density = 13.3 g/cm³
Calculated volume = 22.1 Å³ per atom

---

DFT (PBE) results for a relaxed AgPbW2 crystal.

Lattice parameters (Å, degrees): 4.673 4.673 4.673 60.00 60.00 60.00
Atoms (fractional coordinates):
W 0.750 0.750 0.750
Pb 0.500 0.500 0.500
W 0.250 0.250 0.250
Ag 0.000 0.000 0.000

Properties
Crystal system = cubic
Formation energy = 1.240 eV/atom
Density = 15.7 g/cm³
Calculated volume = 18.0 Å³ per atom

---

DFT (PBE) results for a relaxed AgPb2W crystal.

Lattice parameters (Å, degrees): 3.040 3.040 11.004 90.00 90.00 110.64
Atoms (fractional coordinates):
Pb 0.000 0.000 0.027
Pb 0.000 0.000 0.473
W 0.500 0.500 0.250
Ag 0.500 0.500 0.750

Properties
Crystal system = orthorhombic
Formation energy = 0.753 eV/atom
Density = 12.3 g/cm³
Calculated volume = 23.8 Å³ per atom

---

DFT (PBE) results for a relaxed AgPb2W crystal.

Lattice parameters (Å, degrees): 5.099 5.099 5.099 60.00 60.00 60.00
Last column: magnetic moment on the atom in μB.
Atoms (fractional coordinates):
Ag 0.500 0.500 0.500  0.03
Pb 0.000 0.000 0.000  -0.06
Pb 0.750 0.750 0.750  -0.03
W 0.250 0.250 0.250  1.86

Properties
Crystal system = cubic
Formation energy = 1.111 eV/atom
Density = 12.5 g/cm³
Calculated volume = 23.4 Å³ per atom

---

DFT (PBE) results for a relaxed Ag2PbW crystal.

Lattice parameters (Å, degrees): 4.476 4.117 4.117 90.00 90.00 90.00
Last column: magnetic moment on the atom in μB.
Atoms (fractional coordinates):
Ag 0.000 0.500 0.500  0.00
W 0.500 0.000 0.500  0.31
Pb 0.500 0.500 0.000  -0.01
Ag 0.000 0.000 0.000  0.00

Properties
Crystal system = tetragonal
Formation energy = 0.786 eV/atom
Density = 13.3 g/cm³
Calculated volume = 19.0 Å³ per atom

---

DFT (PBE) results for a relaxed AgPb2W crystal.

Lattice parameters (Å, degrees): 7.310 7.310 7.310 156.10 141.73 45.63
Atoms (fractional coordinates):
Pb 0.697 0.197 0.500
W 0.501 0.501 0.000
Pb 0.987 0.987 0.000
Ag 0.316 0.816 0.500

Properties
Crystal system = orthorhombic
Formation energy = 0.732 eV/atom
Density = 12.0 g/cm³
Calculated volume = 24.4 Å³ per atom

---

DFT (PBE) results for a relaxed AgPb2W crystal.

Lattice parameters (Å, degrees): 5.386 5.386 5.386 134.22 127.40 72.25
Last column: magnetic moment on the atom in μB.
Atoms (fractional coordinates):
W 0.750 0.250 0.500  0.09
Ag 0.250 0.750 0.500  0.00
Pb 0.001 0.001 0.000  0.00
Pb 0.499 0.499 0.000  0.00

Properties
Crystal system = orthorhombic
Formation energy = 0.942 eV/atom
Density = 13.5 g/cm³
Calculated volume = 21.8 Å³ per atom

---

DFT (PBE) results for a relaxed Ag2PbW crystal.

Lattice parameters (Å, degrees): 2.931 2.931 9.421 90.00 90.00 90.00
Atoms (fractional coordinates):
Ag 0.000 0.000 0.991
Pb 0.000 0.000 0.522
W 0.500 0.500 0.774
Ag 0.500 0.500 0.213

Properties
Crystal system = tetragonal
Formation energy = 0.612 eV/atom
Density = 12.5 g/cm³
Calculated volume = 20.2 Å³ per atom

---

DFT (PBE) results for a relaxed Ag2PbW crystal.

Lattice parameters (Å, degrees): 6.151 6.151 6.151 152.14 132.51 55.95
Last column: magnetic moment on the atom in μB.
Atoms (fractional coordinates):
W 0.250 0.750 0.500  0.29
Pb 0.750 0.250 0.500  -0.01
Ag 0.020 0.020 0.000  0.00
Ag 0.480 0.480 0.000  0.00

Properties
Crystal system = orthorhombic
Formation energy = 0.695 eV/atom
Density = 12.6 g/cm³
Calculated volume = 19.9 Å³ per atom